DFT (GGA-PBE) results for an optimized crystal structure of BeH3Ir.

**Uncorrected energy**: -20.81 eV/cell
**Fermi-level density of states**: 0.73 states/eV/cell

Cell: 3.408 3.408 3.408 Å, 90.00 90.00 90.00°
Fractional coordinates of all 5 atoms:
1 Be 0.000 0.000 0.000
2 H 0.000 0.500 0.500
3 H 0.500 0.000 0.500
4 H 0.500 0.500 0.000
5 Ir 0.500 0.500 0.500

***

DFT (GGA-PBE) results for an optimized crystal structure of KGa2Pd.

**Uncorrected energy**: -27.40 eV/cell
**Fermi-level density of states**: 3.12 states/eV/cell

Cell: 4.313 7.280 6.540 Å, 90.00 90.00 90.00°
Fractional coordinates of all 8 atoms:
1 K 0.250 0.250 0.094
2 K 0.750 0.750 0.906
3 Ga 0.250 0.053 0.608
4 Ga 0.250 0.447 0.608
5 Ga 0.750 0.553 0.392
6 Ga 0.750 0.947 0.392
7 Pd 0.250 0.750 0.400
8 Pd 0.750 0.250 0.600

***

DFT (GGA-PBE) results for an optimized crystal structure of TiTe5.

**Formation energy (no corrections)**: -0.328 eV per atom
**Fermi-level density of states**: 0.06 states/eV/cell

Cell: 7.275 7.275 9.172 Å, 125.22 125.22 31.10°
Fractional coordinates of all 6 atoms:
1 Ti 0.000 0.000 0.000
2 Te 0.059 0.059 0.751
3 Te 0.371 0.371 0.707
4 Te 0.503 0.503 0.234
5 Te 0.686 0.686 0.185
6 Te 0.759 0.759 0.923

***

DFT (GGA-PBE) results for an optimized crystal structure of Te2MoH.

**Uncorrected energy**: -16.44 eV/cell
**Fermi-level density of states**: 4.79 states/eV/cell

Cell: 8.794 8.794 8.794 Å, 20.83 20.83 20.83°
Fractional coordinates of all 4 atoms:
1 Te 0.104 0.104 0.104
2 Te 0.896 0.896 0.896
3 Mo 0.000 0.000 0.000
4 H 0.500 0.500 0.500

***

DFT (GGA-PBE) results for an optimized crystal structure of ThGeRhO.

**Formation energy (no corrections)**: -1.950 eV per atom
**Fermi-level density of states**: 4.25 states/eV/cell

Cell: 4.123 4.123 8.148 Å, 90.00 90.00 90.00°
Fractional coordinates of all 8 atoms:
1 Th 0.250 0.250 0.156
2 Th 0.750 0.750 0.844
3 Ge 0.250 0.250 0.666
4 Ge 0.750 0.750 0.334
5 Rh 0.250 0.750 0.500
6 Rh 0.750 0.250 0.500
7 O 0.250 0.750 0.000
8 O 0.750 0.250 0.000

***

DFT (GGA-PBE) results for an optimized crystal structure of ErCuPt.

**Uncorrected energy**: -34.57 eV/cell
**Fermi-level density of states**: 2.64 states/eV/cell

Cell: 5.283 5.283 5.412 Å, 90.00 90.00 132.50°
Fractional coordinates of all 6 atoms:
1 Er 0.205 0.795 0.750
2 Er 0.795 0.205 0.250
3 Cu 0.500 0.500 0.000
4 Cu 0.500 0.500 0.500
5 Pt 0.097 0.903 0.250
6 Pt 0.903 0.097 0.750

***

DFT (GGA-PBE) results for an optimized crystal structure of BaYHg2As.

**Uncorrected energy**: -15.76 eV/cell
**Fermi-level density of states**: 3.75 states/eV/cell

Cell: 5.768 5.768 5.464 Å, 90.00 90.00 90.00°
Fractional coordinates of all 5 atoms:
1 Ba 0.000 0.000 0.000
2 Y 0.500 0.500 0.500
3 Hg 0.000 0.500 0.500
4 Hg 0.500 0.000 0.500
5 As 0.500 0.500 0.000

***

DFT (GGA-PBE) results for an optimized crystal structure of NaTa2IrI.

**Formation energy (no corrections)**: 1.076 eV per atom
**Fermi-level density of states**: 4.86 states/eV/cell

Cell: 4.900 4.900 5.967 Å, 90.00 90.00 90.00°
Fractional coordinates of all 5 atoms:
1 Na 0.000 0.000 0.000
2 Ta 0.000 0.500 0.500
3 Ta 0.500 0.000 0.500
4 Ir 0.500 0.500 0.500
5 I 0.500 0.500 0.000

***

DFT (GGA-PBE) results for an optimized crystal structure of Cu3ReRh.

**Uncorrected energy**: -23.20 eV/cell
**Fermi-level density of states**: 3.69 states/eV/cell

Cell: 4.526 4.526 4.526 Å, 90.00 90.00 90.00°
Fractional coordinates of all 5 atoms:
1 Cu 0.000 0.000 0.500
2 Cu 0.000 0.500 0.000
3 Cu 0.500 0.000 0.000
4 Re 0.500 0.500 0.500
5 Rh 0.000 0.000 0.000

***

DFT (GGA-PBE) results for an optimized crystal structure of CeZr2Ge2.

**Uncorrected energy**: -68.18 eV/cell
**Fermi-level density of states**: 18.09 states/eV/cell

Cell: 7.135 7.135 5.817 Å, 110.10 110.10 100.04°
Fractional coordinates of all 10 atoms:
1 Ce 0.114 0.886 0.750
2 Ce 0.886 0.114 0.250
3 Zr 0.229 0.431 0.012
4 Zr 0.431 0.229 0.512
5 Zr 0.569 0.771 0.488
6 Zr 0.771 0.569 0.988
7 Ge 0.178 0.822 0.250
8 Ge 0.382 0.618 0.750
9 Ge 0.618 0.382 0.250
10 Ge 0.822 0.178 0.750

***

DFT (GGA-PBE) results for an optimized crystal structure of Ce5SiBr5.

**Formation energy (no corrections)**: -1.208 eV per atom
**Fermi-level density of states**: 31.52 states/eV/cell

Cell: 7.184 7.184 8.565 Å, 107.14 107.14 48.78°
Fractional coordinates of all 11 atoms:
1 Ce 0.000 0.000 0.000
2 Ce 0.327 0.327 0.143
3 Ce 0.340 0.340 0.686
4 Ce 0.660 0.660 0.314
5 Ce 0.673 0.673 0.857
6 Si 0.500 0.500 0.000
7 Br 0.151 0.151 0.803
8 Br 0.160 0.160 0.345
9 Br 0.500 0.500 0.500
10 Br 0.840 0.840 0.655
11 Br 0.849 0.849 0.197

***

DFT (GGA-PBE) results for an optimized crystal structure of K2SiPt4.

**Formation energy (no corrections)**: 0.139 eV per atom
**Fermi-level density of states**: 3.44 states/eV/cell

Cell: 8.902 8.902 8.902 Å, 149.67 149.67 43.43°
Fractional coordinates of all 7 atoms:
1 K 0.156 0.156 0.000
2 K 0.844 0.844 0.000
3 Si 0.500 0.500 0.000
4 Pt 0.000 0.500 0.500
5 Pt 0.366 0.366 0.000
6 Pt 0.500 0.000 0.500
7 Pt 0.634 0.634 0.000

***

DFT (GGA-PBE) results for an optimized crystal structure of CrIn2As.

**Uncorrected energy**: -18.57 eV/cell
**Fermi-level density of states**: 2.05 states/eV/cell

Cell: 5.458 5.458 4.430 Å, 99.82 99.82 41.95°
Fractional coordinates of all 4 atoms:
1 Cr 0.000 0.000 0.000
2 In 0.246 0.246 0.749
3 In 0.754 0.754 0.251
4 As 0.500 0.500 0.500

***

DFT (GGA-PBE) results for an optimized crystal structure of AcPrYZn.

**Uncorrected energy**: -17.15 eV/cell
**Fermi-level density of states**: 6.00 states/eV/cell

Cell: 3.731 3.731 9.065 Å, 90.00 90.00 90.00°
Fractional coordinates of all 4 atoms:
1 Ac 0.000 0.000 0.000
2 Pr 0.500 0.500 0.689
3 Y 0.500 0.500 0.299
4 Zn 0.000 0.000 0.479

***

DFT (GGA-PBE) results for an optimized crystal structure of CaMgCd2.

**Uncorrected energy**: -6.38 eV/cell
**Fermi-level density of states**: 2.01 states/eV/cell

Cell: 3.495 3.679 7.703 Å, 90.00 90.11 90.00°
Fractional coordinates of all 4 atoms:
1 Ca 0.000 0.000 0.000
2 Mg 0.000 0.000 0.500
3 Cd 0.499 0.500 0.722
4 Cd 0.501 0.500 0.278

***

DFT (GGA-PBE) results for an optimized crystal structure of UTl2O2F4.

**Formation energy (no corrections)**: -2.652 eV per atom
**Fermi-level density of states**: 0.00 states/eV/cell

Cell: 6.310 6.310 5.006 Å, 92.53 92.53 62.06°
Fractional coordinates of all 9 atoms:
1 U 0.000 0.000 0.000
2 Tl 0.333 0.333 0.626
3 Tl 0.667 0.667 0.374
4 O 0.136 0.136 0.241
5 O 0.864 0.864 0.759
6 F 0.156 0.665 0.224
7 F 0.335 0.844 0.776
8 F 0.665 0.156 0.224
9 F 0.844 0.335 0.776

***

DFT (GGA-PBE) results for an optimized crystal structure of Tb2Nb2O7.

**Formation energy (no corrections)**: -2.945 eV per atom
**Fermi-level density of states**: 9.24 states/eV/cell

Cell: 7.359 7.359 7.359 Å, 60.00 60.00 60.00°
Fractional coordinates of all 22 atoms:
1 Tb 0.000 0.000 0.000
2 Tb 0.000 0.000 0.500
3 Tb 0.000 0.500 0.000
4 Tb 0.500 0.000 0.000
5 Nb 0.000 0.500 0.500
6 Nb 0.500 0.000 0.500
7 Nb 0.500 0.500 0.000
8 Nb 0.500 0.500 0.500
9 O 0.125 0.125 0.125
10 O 0.156 0.156 0.594
11 O 0.156 0.594 0.156
12 O 0.156 0.594 0.594
13 O 0.406 0.406 0.844
14 O 0.406 0.844 0.406
15 O 0.406 0.844 0.844
16 O 0.594 0.156 0.156
17 O 0.594 0.156 0.594
18 O 0.594 0.594 0.156
19 O 0.844 0.406 0.406
20 O 0.844 0.406 0.844
21 O 0.844 0.844 0.406
22 O 0.875 0.875 0.875

***

DFT (GGA-PBE) results for an optimized crystal structure of Li3Br2.

**Formation energy (no corrections)**: -1.004 eV per atom
**Fermi-level density of states**: 2.42 states/eV/cell

Cell: 7.057 6.620 8.455 Å, 54.18 49.52 76.30°
Fractional coordinates of all 10 atoms:
1 Li 0.000 0.000 0.000
2 Li 0.248 0.605 0.488
3 Li 0.250 0.250 0.250
4 Li 0.592 0.762 0.645
5 Li 0.605 0.248 0.658
6 Li 0.762 0.592 0.002
7 Br 0.173 0.413 0.912
8 Br 0.338 0.748 0.077
9 Br 0.413 0.173 0.502
10 Br 0.748 0.338 0.837

***

DFT (GGA-PBE) results for an optimized crystal structure of NdHo2AgHg4.

**Uncorrected energy**: -20.99 eV/cell
**Fermi-level density of states**: 6.16 states/eV/cell

Cell: 9.445 9.445 9.445 Å, 31.16 31.16 31.16°
Fractional coordinates of all 8 atoms:
1 Nd 0.000 0.000 0.000
2 Ho 0.239 0.239 0.239
3 Ho 0.761 0.761 0.761
4 Ag 0.500 0.500 0.500
5 Hg 0.125 0.125 0.125
6 Hg 0.381 0.381 0.381
7 Hg 0.619 0.619 0.619
8 Hg 0.875 0.875 0.875

***

DFT (GGA-PBE) results for an optimized crystal structure of Ca8SnAu2.

**Uncorrected energy**: -31.70 eV/cell
**Fermi-level density of states**: 7.09 states/eV/cell

Cell: 8.365 8.365 5.668 Å, 98.09 98.09 112.13°
Fractional coordinates of all 11 atoms:
1 Ca 0.000 0.000 0.000
2 Ca 0.049 0.310 0.608
3 Ca 0.136 0.615 0.192
4 Ca 0.310 0.049 0.608
5 Ca 0.441 0.701 0.776
6 Ca 0.615 0.136 0.192
7 Ca 0.701 0.441 0.776
8 Ca 0.751 0.751 0.384
9 Sn 0.376 0.376 0.191
10 Au 0.059 0.692 0.692
11 Au 0.692 0.059 0.692

***

Short version: total magnetic moment = 0.00, 0.00, 0.00, 0.00, 0.00, 0.00, 0.00, 2.05, 4.75, 1.49, 5.76, 0.00, 3.97, 0.00, 0.00, 0.00, 1.41, 1.71, 0.00, 0.00 μB/cell, in the order given.